DFT (PBE+U) results for an optimized crystal structure of Zr2VO2.

a b c (Å): 7.1380 7.1380 2.8067
angles (deg): 90.00 90.00 90.00
Last column: magnetic moment on the atom in μB.
Fractional positions:
Zr1 0.3473 0.8473 0.0000  -0.06
Zr2 0.8473 0.6527 0.0000  -0.06
Zr3 0.6527 0.1527 0.0000  -0.06
Zr4 0.1527 0.3473 0.0000  -0.06
O1 0.1212 0.6212 0.5000  0.09
O2 0.6212 0.8788 0.5000  0.09
O3 0.8788 0.3788 0.5000  0.09
O4 0.3788 0.1212 0.5000  0.09
V1 0.0000 0.0000 0.0000  2.87
V2 0.5000 0.5000 0.0000  2.87

## Properties
magnetic moment = 3.48 μB/f.u.
energy above the lowest structure with this stoichiometry = 866 meV/atom
electronic total energy = -7.51 eV per atom
SG = P4/mbm
theoretical density = 6.2 Mg/m³
crystal system = tetragonal